Entry 1:
! LiZrO3 (PBE, relaxed); values from VASP
&SYSTEM
  ibrav = 0, nat = 10, ntyp = 3
/
ATOMIC_SPECIES
Li 6.94 Li.upf
Zr 91.22 Zr.upf
O 16.00 O.upf
CELL_PARAMETERS angstrom
-1.6893 -2.7986 0.9806
3.9360 -3.1155 -2.1109
3.8653 1.4982 4.9960
ATOMIC_POSITIONS crystal
Li 0.9438 0.2500 0.8875
Li 0.0562 0.7500 0.1125
Zr 0.3078 0.7500 0.6156
Zr 0.6922 0.2500 0.3844
O 0.8278 0.9970 0.6556
O 0.1722 0.4970 0.3444
O 0.5237 0.2500 0.0474
O 0.1722 0.0030 0.3444
O 0.8278 0.5030 0.6556
O 0.4763 0.7500 0.9526
! Total energy in eV per atom: -7.470
! Theoretical density in g cm⁻³: 4.2

Entry 2:
! ZrSb2Te (PBE, relaxed); values from VASP
&SYSTEM
  ibrav = 0, nat = 4, ntyp = 3
/
ATOMIC_SPECIES
Sb 121.76 Sb.upf
Te 127.60 Te.upf
Zr 91.22 Zr.upf
CELL_PARAMETERS angstrom
-4.1050 -8.1824 -3.9846
-1.5001 -7.5290 -6.3830
-0.7591 -9.3652 -3.3757
ATOMIC_POSITIONS crystal
Sb 0.0094 0.0094 0.0094
Sb 0.2559 0.2559 0.2559
Te 0.4841 0.4841 0.4841
Zr 0.7506 0.7506 0.7506
! Total energy in eV per atom: -5.215
! Theoretical density in g cm⁻³: 7.0

Entry 3:
! ZrAgIr (PBE, relaxed); values from VASP
&SYSTEM
  ibrav = 0, nat = 3, ntyp = 3
/
ATOMIC_SPECIES
Ag 107.87 Ag.upf
Ir 192.22 Ir.upf
Zr 91.22 Zr.upf
CELL_PARAMETERS angstrom
-0.3261 4.1813 1.5809
-2.6716 2.9650 -2.0396
-3.7791 1.3538 1.9935
ATOMIC_POSITIONS crystal
Ag 0.5000 0.5000 0.5000
Ir 0.2500 0.2500 0.2500
Zr 0.0000 0.0000 0.0000
! Total energy in eV per atom: -6.883
! Theoretical density in g cm⁻³: 10.2
! Distance to the lowest polymorph of the same formula in meV per atom: 316

Entry 4:
! ThAl2Tc2C (PBE, relaxed); values from VASP
&SYSTEM
  ibrav = 0, nat = 6, ntyp = 4
/
ATOMIC_SPECIES
Th 232.04 Th.upf
Al 26.98 Al.upf
Tc 98.00 Tc.upf
C 12.01 C.upf
CELL_PARAMETERS angstrom
4.2299 0.0000 0.0000
0.0000 4.2299 0.0000
0.0000 0.0000 5.5128
ATOMIC_POSITIONS crystal
Th 0.0000 0.0000 0.5000
Al 0.5000 0.5000 0.7345
Al 0.5000 0.5000 0.2655
Tc 0.5000 0.0000 0.0000
Tc 0.0000 0.5000 0.0000
C 0.0000 0.0000 0.0000
! Total energy in eV per atom: -7.889
! Theoretical density in g cm⁻³: 8.3